Record 1
This record from the Open Quantum Materials Database describes an optimized crystal structure of TlCdTc2. The functional is GGA-PBE.

Final energy (eV per atom): -5.280

POSCAR file:
```
TlCdTc2
1.0
0.000 3.285 3.285
3.285 0.000 3.285
3.285 3.285 0.000
Tc Cd Tl
2 1 1
direct
0.000 0.000 0.000
0.750 0.750 0.750
0.250 0.250 0.250
0.500 0.500 0.500
```

---

Record 2
This record from the Open Quantum Materials Database describes an optimized crystal structure of TmCdTc. The functional is GGA-PBE.

Final energy (eV per atom): -4.572
Energy relative to the elements (eV/atom): 0.67
Energy above the lowest structure with this stoichiometry (eV/atom): 0.000

POSCAR file:
```
TmCdTc
1.0
0.129 -2.331 3.997
-3.924 -1.558 1.898
-0.897 -4.541 0.061
Tm Tc Cd
1 1 1
direct
0.750 0.750 0.750
0.250 0.250 0.250
0.000 0.000 0.000
```

---

Record 3
This record from the Open Quantum Materials Database describes an optimized crystal structure of TmCdTc. The functional is GGA-PBE.

Final energy (eV per atom): -4.261
Energy relative to the elements (eV/atom): 0.98
Energy above the lowest structure with this stoichiometry (eV/atom): 0.311

POSCAR file:
```
TmCdTc
1.0
-3.642 -2.943 0.518
-4.371 1.710 0.410
-3.090 -0.566 -3.512
Cd Tc Tm
1 1 1
direct
0.250 0.250 0.250
0.750 0.750 0.750
0.000 0.000 0.000
```

---

Record 4
This record from the Open Quantum Materials Database describes an optimized crystal structure of Tm6CdTc2. The functional is GGA-PBE.

Final energy (eV per atom): -5.545
Energy relative to the elements (eV/atom): -0.16

POSCAR file:
```
Tm6CdTc2
1.0
-4.696 4.717 5.119
4.696 -4.717 5.119
4.696 4.717 -5.119
Cd Tm Tc
2 12 4
direct
0.500 0.500 0.000
0.000 0.000 0.000
0.282 0.189 0.472
0.237 0.026 0.789
0.763 0.552 0.789
0.763 0.974 0.211
0.978 0.682 0.296
0.282 0.811 0.093
0.022 0.318 0.704
0.237 0.448 0.211
0.718 0.189 0.907
0.614 0.318 0.296
0.718 0.811 0.528
0.386 0.682 0.704
0.617 0.117 0.500
0.383 0.883 0.500
0.000 0.366 0.366
0.000 0.634 0.634
```

---

Record 5
This record from the Open Quantum Materials Database describes an optimized crystal structure of CdTcW2. The functional is GGA-PBE.

Final energy (eV per atom): -8.741
Energy relative to the elements (eV/atom): 0.55

POSCAR file:
```
CdTcW2
1.0
-3.511 -2.568 1.272
-4.236 1.500 -0.588
-2.665 -1.906 -3.131
Cd W Tc
1 2 1
direct
0.750 0.750 0.750
0.500 0.500 0.500
0.250 0.250 0.250
0.000 0.000 0.000
```

---

Record 6
This record from the Open Quantum Materials Database describes an optimized crystal structure of CdTcW. The functional is GGA-PBE.

Final energy (eV per atom): -7.126
Energy relative to the elements (eV/atom): 0.95
Energy above the lowest structure with this stoichiometry (eV/atom): 0.000

POSCAR file:
```
CdTcW
1.0
0.000 3.084 3.084
3.084 0.000 3.084
3.084 3.084 0.000
Tc W Cd
1 1 1
direct
0.000 0.000 0.000
0.250 0.250 0.250
0.750 0.750 0.750
```

---

Record 7
This record from the Open Quantum Materials Database describes an optimized crystal structure of YCdTc2. The functional is GGA-PBE.

Final energy (eV per atom): -6.740
Energy relative to the elements (eV/atom): 0.28

POSCAR file:
```
YCdTc2
1.0
0.703 -4.335 -1.713
1.039 -3.550 2.923
-3.170 -3.395 0.805
Tc Cd Y
2 1 1
direct
0.250 0.250 0.250
0.000 0.000 0.000
0.500 0.500 0.500
0.750 0.750 0.750
```

---

Record 8
This record from the Open Quantum Materials Database describes an optimized crystal structure of ZnCdTc2. The functional is GGA-PBE.

Final energy (eV per atom): -5.422
Energy relative to the elements (eV/atom): 0.30

POSCAR file:
```
ZnCdTc2
1.0
-1.844 -3.373 -2.244
-3.456 -2.202 1.736
-4.054 0.463 -1.778
Tc Zn Cd
2 1 1
direct
0.000 0.000 0.000
0.750 0.750 0.750
0.500 0.500 0.500
0.250 0.250 0.250
```

---

Which formula does entry 4 have?
Tm6CdTc2

---

Repeat the seventh record exactly.
This record from the Open Quantum Materials Database describes an optimized crystal structure of YCdTc2. The functional is GGA-PBE.

Final energy (eV per atom): -6.740
Energy relative to the elements (eV/atom): 0.28

POSCAR file:
```
YCdTc2
1.0
0.703 -4.335 -1.713
1.039 -3.550 2.923
-3.170 -3.395 0.805
Tc Cd Y
2 1 1
direct
0.250 0.250 0.250
0.000 0.000 0.000
0.500 0.500 0.500
0.750 0.750 0.750
```

---

Among the records above, which one has the highest final energy?
number 3

---

final energy of number 8 (ZnCdTc2)?
-5.422 eV per atom